# 1
VASP calculation (GGA-PBE) on a relaxed Np2CuB2Ru5 crystal.

Properties
The calculated formation energy is -209 meV/atom. As for the space group: P4/mbm, No. 127.

Cell lengths 3.1021, 9.5081, 9.5081 Å; angles 90.00, 90.00, 90.00 degrees
Closest atoms and distances in Å follow each position.
Fractional positions:
Ru  0.5000  0.7825  0.9283  2 B 2.22
Ru  0.5000  0.2825  0.5717  2 B 2.22
Ru  0.5000  0.2175  0.0717  2 B 2.22
Ru  0.5000  0.5717  0.7175  2 B 2.22
Ru  0.5000  0.0000  0.5000  4 B 2.27
B  0.0000  0.1235  0.6235  6 Ru 2.22-2.27
Np  0.0000  0.1779  0.3221  3 B 2.67-2.91, 6 Ru 2.85-2.87
Np  0.0000  0.8221  0.6779  3 B 2.67-2.91, 6 Ru 2.85-2.87
Cu  0.0000  0.0000  0.0000  8 Ru 2.67
Ru  0.5000  0.9283  0.2175  2 B 2.22
B  0.0000  0.8765  0.3765  6 Ru 2.22-2.27
Np  0.0000  0.3221  0.8221  3 B 2.67-2.91, 6 Ru 2.85-2.87
Np  0.0000  0.6779  0.1779  3 B 2.67-2.91, 6 Ru 2.85-2.87
B  0.0000  0.3765  0.1235  6 Ru 2.22-2.27
Cu  0.0000  0.5000  0.5000  8 Ru 2.67
Ru  0.5000  0.4283  0.2825  2 B 2.22
Ru  0.5000  0.5000  0.0000  4 B 2.27
B  0.0000  0.6235  0.8765  6 Ru 2.22-2.27
Ru  0.5000  0.7175  0.4283  2 B 2.22
Ru  0.5000  0.0717  0.7825  2 B 2.22

***

# 2
VASP calculation (GGA-PBE) on a relaxed CuB2O4 crystal.

Properties
Its uncorrected formation energy is -1.89 eV/atom. As for the space group: I-42d, No. 122.

Cell lengths 8.6780, 8.6780, 8.6780 Å; angles 96.16, 96.16, 141.75 degrees
Closest atoms and distances in Å follow each position.
Fractional positions:
B  0.0948  0.6325  0.8328  4 O 1.46-1.49
O  0.1250  0.6275  0.0025  2 B 1.48
O  0.0407  0.3750  0.1657  2 B 1.46
Cu  0.7500  0.2500  0.5000  4 O 2.02
B  0.1250  0.3748  0.7498  4 O 1.49
Cu  0.6250  0.9567  0.8317  4 O 1.92-2.01
O  0.8592  0.4725  0.2389  2 B 1.48-1.49
O  0.8150  0.4050  0.7292  2 B 1.49
B  0.6248  0.8750  0.2498  4 O 1.49
O  0.6550  0.5650  0.2292  2 B 1.49
O  0.3358  0.4258  0.7708  2 B 1.49
O  0.3725  0.3750  0.4975  2 B 1.48
B  0.1552  0.4879  0.0377  4 O 1.46-1.49
B  0.5121  0.5497  0.6672  4 O 1.46-1.49
B  0.7997  0.2621  0.1672  4 O 1.46-1.49
O  0.9142  0.1850  0.5900  2 B 1.49
O  0.5950  0.3242  0.4100  2 B 1.49
O  0.3908  0.1296  0.1133  2 B 1.48-1.49
Cu  0.0433  0.8750  0.6683  4 O 1.92-2.01
O  0.2337  0.6204  0.7611  2 B 1.48-1.49
B  0.7379  0.9052  0.5377  4 O 1.46-1.49
O  0.7225  0.6092  0.7389  2 B 1.48-1.49
O  0.3796  0.1408  0.6133  2 B 1.48-1.49
O  0.5742  0.3450  0.9100  2 B 1.49
O  0.6758  0.0858  0.2708  2 B 1.49
O  0.6250  0.1225  0.9975  2 B 1.48
B  0.3675  0.2003  0.4623  4 O 1.46-1.49
Cu  0.2067  0.3750  0.3317  4 O 1.92-2.01
O  0.8704  0.9837  0.2611  2 B 1.48-1.49
O  0.5275  0.7663  0.3867  2 B 1.48-1.49
O  0.4350  0.6642  0.0900  2 B 1.49
B  0.6252  0.3750  0.7502  4 O 1.49
Cu  0.5000  0.5000  0.0000  4 O 2.02
Cu  0.1250  0.7933  0.1683  4 O 1.92-2.01
B  0.8825  0.8448  0.3328  4 O 1.46-1.49
O  0.0163  0.2775  0.8867  2 B 1.48-1.49
O  0.8775  0.8750  0.5025  2 B 1.48
O  0.1250  0.9593  0.3343  2 B 1.46
B  0.6250  0.3752  0.2502  4 O 1.49
B  0.4503  0.1175  0.9623  4 O 1.46-1.49
O  0.2093  0.8750  0.8343  2 B 1.46
O  0.6250  0.7907  0.6657  2 B 1.46

***

# 3
VASP calculation (GGA-PBE) on a relaxed Cu3BO crystal.

Properties
Its uncorrected formation energy is 0.59 eV/atom. As for the space group: Pm-3m, No. 221. The energy above the most stable polymorph in this dataset comes out at 0.0 meV/atom.

Cell lengths 3.8691, 3.8691, 3.8691 Å; angles 90.00, 90.00, 90.00 degrees
Closest atoms and distances in Å follow each position.
Fractional positions:
Cu  0.0000  0.5000  0.0000  2 B 1.93
Cu  0.5000  0.0000  0.0000  2 B 1.93
B  0.0000  0.0000  0.0000  6 Cu 1.93
O  0.5000  0.5000  0.5000  12 Cu 2.74
Cu  0.0000  0.0000  0.5000  2 B 1.93

***

# 4
VASP calculation (GGA-PBE) on a relaxed Cu2BO6 crystal.

Properties
Its uncorrected formation energy is -0.56 eV/atom. As for the space group: C2/m, No. 12.

Cell lengths 7.3920, 7.1853, 7.1853 Å; angles 44.11, 43.68, 43.68 degrees
Closest atoms and distances in Å follow each position.
Fractional positions:
O  0.7680  0.3143  0.9157  1 B 1.53
B  0.0000  0.0000  0.0000  4 O 1.53
O  0.7680  0.9157  0.3143  1 B 1.53
O  0.5000  0.6144  0.3856  1 O 1.23
O  0.2320  0.6857  0.0843  1 B 1.53
Cu  0.5584  0.7224  0.7224  4 O 1.87-1.90
O  0.2320  0.0843  0.6857  1 B 1.53
Cu  0.4416  0.2776  0.2776  4 O 1.87-1.90
O  0.5000  0.3856  0.6144  1 O 1.23

***

# 5
VASP calculation (GGA-PBE) on a relaxed CuB4O7 crystal.

Properties
Its uncorrected formation energy is -2.04 eV/atom. As for the space group: Cmcm, No. 63.

Cell lengths 6.3562, 6.3562, 5.1526 Å; angles 90.00, 90.00, 117.79 degrees
Closest atoms and distances in Å follow each position.
Fractional positions:
B  0.6976  0.9250  0.2500  4 O 1.43-1.59
O  0.1901  0.4454  0.5208  2 B 1.46
B  0.0750  0.3024  0.7500  4 O 1.43-1.59
O  0.8034  0.2435  0.7500  3 B 1.54-1.59
O  0.7565  0.1966  0.2500  3 B 1.54-1.59
O  0.2435  0.8034  0.7500  3 B 1.54-1.59
O  0.9203  0.9203  0.2500  2 B 1.43
B  0.2963  0.7037  0.5000  4 O 1.46-1.54
O  0.1966  0.7565  0.2500  3 B 1.54-1.59
B  0.9250  0.6976  0.2500  4 O 1.43-1.59
Cu  0.2815  0.2815  0.2500  4 O 1.98
O  0.4454  0.1901  0.5208  2 B 1.46
O  0.5546  0.8099  0.4792  2 B 1.46
O  0.4454  0.1901  0.9792  2 B 1.46
Cu  0.7185  0.7185  0.7500  4 O 1.98
O  0.1901  0.4454  0.9792  2 B 1.46
O  0.0797  0.0797  0.7500  2 B 1.43
B  0.7037  0.2963  0.0000  4 O 1.46-1.54
O  0.5546  0.8099  0.0208  2 B 1.46
B  0.3024  0.0750  0.7500  4 O 1.43-1.59
O  0.8099  0.5546  0.4792  2 B 1.46
B  0.7037  0.2963  0.5000  4 O 1.46-1.54
O  0.8099  0.5546  0.0208  2 B 1.46
B  0.2963  0.7037  0.0000  4 O 1.46-1.54

***

# 6
VASP calculation (GGA-PBE) on a relaxed CuB2O crystal.

Properties
Its uncorrected formation energy is 0.34 eV/atom. As for the space group: I-42d, No. 122.

Cell lengths 4.4655, 4.4655, 4.7755 Å; angles 62.12, 62.12, 90.00 degrees
Closest atoms and distances in Å follow each position.
Fractional positions:
O  0.2500  0.7500  0.5000  4 B 1.65
B  0.3750  0.4396  0.7500  2 O 1.65
O  0.5000  0.5000  0.0000  4 B 1.65
B  0.8750  0.8104  0.7500  2 O 1.65
Cu  0.0000  0.0000  0.0000  4 B 2.01
B  0.5604  0.1250  0.2500  2 O 1.65
Cu  0.7500  0.2500  0.5000  4 B 2.01
B  0.1896  0.6250  0.2500  2 O 1.65

***

Number 1: calculated volume 14.0 Å³/atom, M_tot 4.5 μB per formula unit. Number 2: calculated volume 9.1 Å³/atom, M_tot 1.0 μB per formula unit. Number 3: calculated volume 11.6 Å³/atom, M_tot 0.0 μB per formula unit. Number 4: calculated volume 18.5 Å³/atom, M_tot 2.0 μB per formula unit. Number 5: calculated volume 7.7 Å³/atom, M_tot 1.0 μB per formula unit. Number 6: calculated volume 8.9 Å³/atom, M_tot 0.0 μB per formula unit.